Density functional theory data (PBE-GGA) for an optimized crystal structure of MgCoOs.

Unit cell a=2.7375 b=2.7375 c=6.5535 alpha=90.00 beta=90.00 gamma=120.00
Each line ends with the local moment (μB).
Fractional positions:
Co 0.0000 0.0000 0.9867  1.11
Os 0.6667 0.3333 0.6886  -0.01
Mg 0.3333 0.6667 0.3247  -0.01

## Properties
Offset from the most stable computed form ... 108 meV per atom
Density of states at the Fermi level ... 1.01 states/eV per atom
M_tot ... 1.065 μB per formula unit
Total DFT energy (no corrections) ... -6.407 eV per atom
Energy of formation from the pure elements ... 0.2361 eV/atom
SG ... P3m1

Density functional theory data (PBE-GGA) for an optimized crystal structure of MgCo2Os.

Unit cell a=4.6316 b=4.6316 c=4.6316 alpha=133.66 beta=133.66 gamma=67.62
Each line ends with the local moment (μB).
Fractional positions:
Os 0.7500 0.2500 0.5000  0.31
Mg 0.5000 0.5000 0.0000  -0.01
Co 0.0000 0.0000 0.0000  -0.25
Co 0.2500 0.7500 0.5000  1.03

## Properties
Density of states at the Fermi level ... 1.16 states/eV per atom
M_tot ... 1.072 μB per formula unit
Total DFT energy (no corrections) ... -6.465 eV per atom
Energy of formation from the pure elements ... 0.2942 eV/atom
SG ... I-4m2

Density functional theory data (PBE-GGA) for an optimized crystal structure of MgCoOs.

Unit cell a=2.7642 b=4.3860 c=7.1766 alpha=90.00 beta=101.10 gamma=90.00
Each line ends with the local moment (μB).
Fractional positions:
Os 0.2696 0.2500 0.5392  -0.03
Os 0.7304 0.7500 0.4608  -0.03
Mg 0.0602 0.7500 0.1204  -0.01
Mg 0.9398 0.2500 0.8796  -0.01
Co 0.6204 0.2500 0.2408  0.56
Co 0.3796 0.7500 0.7592  0.56

## Properties
Offset from the most stable computed form ... 37 meV per atom
Density of states at the Fermi level ... 1.00 states/eV per atom
M_tot ... 0.507 μB per formula unit
Total DFT energy (no corrections) ... -6.478 eV per atom
Energy of formation from the pure elements ... 0.1650 eV/atom
SG ... Cmcm

Density functional theory data (PBE-GGA) for an optimized crystal structure of MgCo2Os.

Unit cell a=6.0241 b=4.4531 c=2.6506 alpha=90.06 beta=63.81 gamma=123.03
Fractional positions:
Co 0.0000 0.0000 0.0000
Co 0.5000 0.0000 0.5000
Os 0.5000 0.5000 0.0000
Mg 0.0000 0.5000 0.5000

## Properties
Density of states at the Fermi level ... 1.19 states/eV per atom
M_tot ... 0.001 μB per formula unit
Total DFT energy (no corrections) ... -6.585 eV per atom
Energy of formation from the pure elements ... 0.1739 eV/atom
SG ... Cmmm

Density functional theory data (PBE-GGA) for an optimized crystal structure of MgCo2Os.

Unit cell a=2.6887 b=2.6887 c=7.3547 alpha=90.00 beta=90.00 gamma=90.00
Each line ends with the local moment (μB).
Fractional positions:
Co 0.5000 0.5000 0.2207  1.45
Co 0.0000 0.0000 0.0100  1.06
Os 0.5000 0.5000 0.7805  -0.22
Mg 0.0000 0.0000 0.4888  -0.02

## Properties
Density of states at the Fermi level ... 1.33 states/eV per atom
M_tot ... 2.166 μB per formula unit
Total DFT energy (no corrections) ... -6.547 eV per atom
Energy of formation from the pure elements ... 0.2119 eV/atom
SG ... P4mm

Density functional theory data (PBE-GGA) for an optimized crystal structure of MgCoOs2.

Unit cell a=2.9315 b=2.9315 c=6.5454 alpha=90.00 beta=90.00 gamma=90.00
Each line ends with the local moment (μB).
Fractional positions:
Co 0.5000 0.5000 0.2500  0.72
Os 0.0000 0.0000 0.4632  0.02
Os 0.0000 0.0000 0.0368  0.02
Mg 0.5000 0.5000 0.7500  0.00

## Properties
Density of states at the Fermi level ... 0.98 states/eV per atom
M_tot ... 0.784 μB per formula unit
Total DFT energy (no corrections) ... -7.428 eV per atom
Energy of formation from the pure elements ... 0.3623 eV/atom
SG ... P4/mmm

Density functional theory data (PBE-GGA) for an optimized crystal structure of MgCo2Os2.

Unit cell a=7.2313 b=7.2313 c=2.6208 alpha=90.00 beta=90.00 gamma=90.00
Fractional positions:
Co 0.8833 0.6167 0.0000
Co 0.3833 0.8833 0.0000
Co 0.6167 0.1167 0.0000
Co 0.1167 0.3833 0.0000
Os 0.3217 0.1783 0.5000
Os 0.8217 0.3217 0.5000
Os 0.1783 0.6783 0.5000
Os 0.6783 0.8217 0.5000
Mg 0.0000 0.0000 0.0000
Mg 0.5000 0.5000 0.0000

## Properties
Offset from the most stable computed form ... 0 meV per atom
Density of states at the Fermi level ... 1.31 states/eV per atom
M_tot ... 0.000 μB per formula unit
Total DFT energy (no corrections) ... -7.402 eV per atom
Energy of formation from the pure elements ... 0.2512 eV/atom
SG ... P4/mbm

Density functional theory data (PBE-GGA) for an optimized crystal structure of MgCoOs.

Unit cell a=4.0295 b=4.0295 c=4.0295 alpha=60.00 beta=60.00 gamma=60.00
Each line ends with the local moment (μB).
Fractional positions:
Mg 0.0000 0.0000 0.0000  -0.01
Os 0.5000 0.5000 0.5000  0.31
Co 0.2500 0.2500 0.2500  0.27

## Properties
Offset from the most stable computed form ... 378 meV per atom
Density of states at the Fermi level ... 1.43 states/eV per atom
M_tot ... 0.577 μB per formula unit
Total DFT energy (no corrections) ... -6.138 eV per atom
Energy of formation from the pure elements ... 0.5056 eV/atom
SG ... F-43m